# 1
A relaxed AlNi2Te crystal, computed with PBE.

* energy relative to the lowest polymorph listed for this composition: 146.2 meV per atom
* raw formation energy: -15 meV/atom

```
4
Lattice="-1.8742 1.8742 4.2642 1.8742 -1.8742 4.2642 1.8742 1.8742 -4.2642" Properties=species:S:1:pos:R:3 pbc="T T T"
Al 0.0000 0.0000 0.0000
Ni 1.8742 0.0000 2.1321
Ni 0.0000 0.0000 4.2642
Te 0.0000 1.8742 2.1321
```

# 2
A relaxed NbVNiPd crystal, computed with PBE.

* energy of formation from the pure elements: -0.0661 eV/atom

```
4
Lattice="0.0000 3.0711 3.0711 3.0711 0.0000 3.0711 3.0711 3.0711 0.0000" Properties=species:S:1:pos:R:3 pbc="T T T"
Nb 0.0000 0.0000 0.0000
V 4.6067 4.6067 4.6067
Ni 1.5356 1.5356 1.5356
Pd 3.0711 3.0711 3.0711
```

# 3
A relaxed MnAlTl2 crystal, computed with PBE.

* energy of formation from the pure elements: 0.4546 eV/atom
* energy relative to the lowest polymorph listed for this composition: 224.2 meV per atom

```
4
Lattice="-1.6327 2.6613 5.2284 1.6327 -2.6613 5.2284 1.6327 2.6613 -5.2284" Properties=species:S:1:pos:R:3 pbc="T T T"
Mn 0.0000 0.0000 0.0000
Al 0.0000 0.0000 5.2284
Tl 1.6327 0.0000 2.4177
Tl 0.0000 2.6613 2.8107
```